1.
# HoMgHgIr

HoMgHgIr after structural relaxation (PBE, Alexandria via LeMat-Bulk).

The space group is F-43m (No. 216) and the conventional cell measures 6.855, 6.855 and 6.855 Å, with angles of 90.00, 90.00 and 90.00 degrees. The inequivalent atoms are Ho at (0.000, 0.000, 0.000), Mg at (0.000, 0.000, 0.500), Hg at (0.250, 0.250, 0.750) and Ir at (0.250, 0.250, 0.250).

The formation energy is -0.4265 eV per atom. The value obtained for the energy is -68.2 eV per cell.

2.
# Ba2ReBPd

Ba2ReBPd after structural relaxation (PBE, Alexandria via LeMat-Bulk).

The space group is P4/mmm (No. 123) and the conventional cell measures 6.112, 6.112 and 4.812 Å, with angles of 90.00, 90.00 and 90.00 degrees. The inequivalent atoms are Ba at (0.000, 0.500, 0.000), Re at (0.000, 0.000, 0.500), B at (0.500, 0.500, 0.500) and Pd at (0.000, 0.000, 0.000).

The formation energy is 1.4438 eV per atom. The value obtained for the energy is -20.9 eV per cell.

Values for M_tot, Bohr magnetons per cell, ordered as above
0.00; 0.49
Values for DOS at the Fermi energy, states/eV/f.u., ordered as above
2.300; 5.580